[1]
## BaSr2TlSe (PBE)

Data for an optimized crystal structure of BaSr2TlSe.

Lattice parameters (Å, degrees): 5.9192 5.9192 6.3311 90.00 90.00 90.00
Atoms (fractional coordinates):
Sr (0.0000, 0.5000, 0.0000)
Sr (0.5000, 0.0000, 0.0000)
Tl (0.5000, 0.5000, 0.5000)
Ba (0.0000, 0.0000, 0.5000)
Se (0.0000, 0.0000, 0.0000)

ρ (Mg/m³): 4.46
Crystal system: tetragonal
E_form (uncorrected) (eV per atom): -0.791
Space group: P4/mmm, No. 123
DOS(E_F) (states/eV/cell): 6.1

---

[2]
## PrSmRhI (PBE)

Data for an optimized crystal structure of PrSmRhI.

Lattice parameters (Å, degrees): 4.1616 4.1617 8.5258 90.00 104.13 120.00
Atoms (fractional coordinates):
Pr (0.5132, 0.1545, 0.6830)
Sm (0.0929, 0.9444, 0.0527)
Rh (0.3068, 0.5513, 0.8734)
I (0.9651, 0.3806, 0.3607)

ρ (Mg/m³): 7.05
Crystal system: trigonal
E_form (uncorrected) (eV per atom): -0.933
Space group: R3m, No. 160
DOS(E_F) (states/eV/cell): 0.6

---

[3]
## AcInPb3 (PBE)

Data for an optimized crystal structure of AcInPb3.

Lattice parameters (Å, degrees): 6.1816 6.6231 9.2598 110.95 90.00 90.00
Atoms (fractional coordinates):
Ac (0.7500, 0.1823, 0.3646)
Ac (0.2500, 0.8177, 0.6354)
In (0.7500, 0.5648, 0.1295)
In (0.2500, 0.4352, 0.8705)
Pb (0.7500, 0.6010, 0.7230)
Pb (0.7500, 0.1220, 0.7230)
Pb (0.2500, 0.8780, 0.2770)
Pb (0.2500, 0.3990, 0.2770)
Pb (0.0000, 0.0000, 0.0000)
Pb (0.5000, 0.0000, 0.0000)

ρ (Mg/m³): 9.04
Crystal system: orthorhombic
DFT formation energy (kcal/mol of atoms): -2.0
Space group: Cmcm, No. 63
DOS(E_F) (states/eV/cell): 6.5

---

[4]
## ZrAg6F12 (PBE)

Data for an optimized crystal structure of ZrAg6F12.

Lattice parameters (Å, degrees): 6.8789 6.8789 6.8789 99.23 99.23 99.23
Atoms (fractional coordinates):
Zr (0.0000, 0.0000, 0.0000)
Ag (0.1450, 0.3213, 0.6004)
Ag (0.6787, 0.3996, 0.8550)
Ag (0.3996, 0.8550, 0.6787)
Ag (0.8550, 0.6787, 0.3996)
Ag (0.3213, 0.6004, 0.1450)
Ag (0.6004, 0.1450, 0.3213)
F (0.4092, 0.1680, 0.6132)
F (0.1680, 0.6132, 0.4092)
F (0.6132, 0.4092, 0.1680)
F (0.5908, 0.8320, 0.3868)
F (0.8320, 0.3868, 0.5908)
F (0.3868, 0.5908, 0.8320)
F (0.0219, 0.9174, 0.7065)
F (0.2935, 0.9781, 0.0826)
F (0.0826, 0.2935, 0.9781)
F (0.9781, 0.0826, 0.2935)
F (0.7065, 0.0219, 0.9174)
F (0.9174, 0.7065, 0.0219)

ρ (Mg/m³): 5.16
Crystal system: trigonal
E_form (uncorrected) (eV per atom): -1.761
Space group: R-3, No. 148
DOS(E_F) (states/eV/cell): 12.0

---

[5]
## SnHgSeS (PBE)

Data for an optimized crystal structure of SnHgSeS.

Lattice parameters (Å, degrees): 4.1764 4.1764 7.9831 105.28 89.84 120.10
Atoms (fractional coordinates):
Sn (0.1138, 0.6150, 0.7287)
Hg (0.2753, 0.9356, 0.2109)
Se (0.5530, 0.4903, 0.0433)
S (0.3870, 0.1599, 0.5469)

ρ (Mg/m³): 6.22
Crystal system: monoclinic
E_form (uncorrected) (eV per atom): -0.214
Space group: Cm, No. 8

---

[6]
## TcGeIN2 (PBE)

Data for an optimized crystal structure of TcGeIN2.

Lattice parameters (Å, degrees): 3.8468 3.8468 6.4949 90.00 90.00 90.00
Atoms (fractional coordinates):
I (0.0000, 0.0000, 0.5000)
Ge (0.0000, 0.0000, 0.0000)
Tc (0.5000, 0.5000, 0.5000)
N (0.0000, 0.5000, 0.0000)
N (0.5000, 0.0000, 0.0000)

ρ (Mg/m³): 5.62
Crystal system: tetragonal
E_form (uncorrected) (eV per atom): 1.712
Space group: P4/mmm, No. 123
DOS(E_F) (states/eV/cell): 3.1

---

Repeat the first record exactly.
## BaSr2TlSe (PBE)

Data for an optimized crystal structure of BaSr2TlSe.

Lattice parameters (Å, degrees): 5.9192 5.9192 6.3311 90.00 90.00 90.00
Atoms (fractional coordinates):
Sr (0.0000, 0.5000, 0.0000)
Sr (0.5000, 0.0000, 0.0000)
Tl (0.5000, 0.5000, 0.5000)
Ba (0.0000, 0.0000, 0.5000)
Se (0.0000, 0.0000, 0.0000)

ρ (Mg/m³): 4.46
Crystal system: tetragonal
E_form (uncorrected) (eV per atom): -0.791
Space group: P4/mmm, No. 123
DOS(E_F) (states/eV/cell): 6.1

---

Number 5 is which compound?
SnHgSeS

---

Number 4 is which compound?
ZrAg6F12

---

Among the records above, which one has the highest ρ?
AcInPb3